[1]
## SmAsO4 (meta-GGA SCAN)

Data for a PBEsol-optimized structure of SmAsO4.

The structure in CIF format:
```
data_SmAsO4
_chemical_formula_sum 'Sm2 As2 O8'
_space_group_name_H-M_alt 'P 1'
_space_group_IT_number 1
_space_group_name_Hall 'P 1'
_cell_length_a 6.727
_cell_length_b 6.727
_cell_length_c 6.727
_cell_angle_alpha 135.73
_cell_angle_beta 135.73
_cell_angle_gamma 64.39
loop_
_atom_site_label
_atom_site_type_symbol
_atom_site_fract_x
_atom_site_fract_y
_atom_site_fract_z
Sm1 Sm 0.375 0.125 0.250
Sm2 Sm 0.625 0.875 0.750
As1 As 0.125 0.375 0.750
As2 As 0.875 0.625 0.250
O1 O 0.060 0.704 0.855
O2 O 0.204 0.849 0.644
O3 O 0.295 0.440 0.144
O4 O 0.349 0.205 0.645
O5 O 0.651 0.795 0.355
O6 O 0.705 0.560 0.856
O7 O 0.796 0.151 0.356
O8 O 0.940 0.296 0.145
```

Properties
M_tot, μB/f.u.: 0.00
Excess energy over the best structure of this formula in the dataset, meV/atom: 0
N(E_F), states/eV per atom: 0.000
SG: I4_1/a (88)
ΔE_f (raw), eV per formula unit: -15.664



[2]
## TlAgHg2 (meta-GGA SCAN)

Data for a PBEsol-optimized structure of TlAgHg2.

The structure in CIF format:
```
data_TlAgHg2
_chemical_formula_sum 'Tl1 Ag1 Hg2'
_space_group_name_H-M_alt 'P 1'
_space_group_IT_number 1
_space_group_name_Hall 'P 1'
_cell_length_a 3.195
_cell_length_b 4.115
_cell_length_c 6.788
_cell_angle_alpha 90.00
_cell_angle_beta 90.00
_cell_angle_gamma 90.00
loop_
_atom_site_label
_atom_site_type_symbol
_atom_site_fract_x
_atom_site_fract_y
_atom_site_fract_z
Tl1 Tl 0.000 0.000 0.000
Ag1 Ag 0.500 0.500 0.256
Hg1 Hg 0.000 0.000 0.461
Hg2 Hg 0.500 0.500 0.715
```

Properties
M_tot, μB/f.u.: 0.00
N(E_F), states/eV per atom: 0.272
E_form, eV/atom: 0.087
SG: Pmm2 (25)



[3]
## ZnRuBr2 (meta-GGA SCAN)

Data for a PBEsol-optimized structure of ZnRuBr2.

The structure in CIF format:
```
data_ZnRuBr2
_chemical_formula_sum 'Zn1 Ru1 Br2'
_space_group_name_H-M_alt 'P 1'
_space_group_IT_number 1
_space_group_name_Hall 'P 1'
_cell_length_a 4.658
_cell_length_b 4.658
_cell_length_c 3.162
_cell_angle_alpha 90.00
_cell_angle_beta 90.00
_cell_angle_gamma 90.00
loop_
_atom_site_label
_atom_site_type_symbol
_atom_site_fract_x
_atom_site_fract_y
_atom_site_fract_z
Zn1 Zn 0.000 0.000 0.000
Ru1 Ru 0.500 0.500 0.000
Br1 Br 0.000 0.500 0.500
Br2 Br 0.500 0.000 0.500
```

Properties
M_tot, μB/f.u.: 0.00
Excess energy over the best structure of this formula in the dataset, meV/atom: 803
N(E_F), states/eV per atom: 0.727
SG: P4/mmm (123)
ΔE_f (raw), eV per formula unit: 3.168



[4]
## NaTl2Bi2 (meta-GGA SCAN)

Data for a PBEsol-optimized structure of NaTl2Bi2.

The structure in CIF format:
```
data_NaTl2Bi2
_chemical_formula_sum 'Na2 Tl4 Bi4'
_space_group_name_H-M_alt 'P 1'
_space_group_IT_number 1
_space_group_name_Hall 'P 1'
_cell_length_a 8.547
_cell_length_b 8.547
_cell_length_c 4.286
_cell_angle_alpha 90.00
_cell_angle_beta 90.00
_cell_angle_gamma 90.00
loop_
_atom_site_label
_atom_site_type_symbol
_atom_site_fract_x
_atom_site_fract_y
_atom_site_fract_z
Na1 Na 0.000 0.000 0.000
Na2 Na 0.500 0.500 0.000
Tl1 Tl 0.161 0.339 0.500
Tl2 Tl 0.339 0.839 0.500
Tl3 Tl 0.661 0.161 0.500
Tl4 Tl 0.839 0.661 0.500
Bi1 Bi 0.132 0.632 0.000
Bi2 Bi 0.368 0.132 0.000
Bi3 Bi 0.632 0.868 0.000
Bi4 Bi 0.868 0.368 0.000
```

Properties
M_tot, μB/f.u.: 0.00
N(E_F), states/eV per atom: 0.456
E_form, eV/atom: -0.063
SG: P4/mbm (127)



[5]
## In2HgBr (meta-GGA SCAN)

Data for a PBEsol-optimized structure of In2HgBr.

The structure in CIF format:
```
data_In2HgBr
_chemical_formula_sum 'In2 Hg1 Br1'
_space_group_name_H-M_alt 'P 1'
_space_group_IT_number 1
_space_group_name_Hall 'P 1'
_cell_length_a 3.819
_cell_length_b 3.819
_cell_length_c 8.907
_cell_angle_alpha 102.22
_cell_angle_beta 102.22
_cell_angle_gamma 59.85
loop_
_atom_site_label
_atom_site_type_symbol
_atom_site_fract_x
_atom_site_fract_y
_atom_site_fract_z
In1 In 0.247 0.247 0.242
In2 In 0.753 0.753 0.758
Hg1 Hg 0.500 0.500 0.000
Br1 Br 0.000 0.000 0.500
```

Properties
M_tot, μB/f.u.: 0.00
Excess energy over the best structure of this formula in the dataset, meV/atom: 24
N(E_F), states/eV per atom: 0.198
SG: C2/m (12)
ΔE_f (raw), eV per formula unit: -1.006



[6]
## Zr2PtW (meta-GGA SCAN)

Data for a PBEsol-optimized structure of Zr2PtW.

The structure in CIF format:
```
data_Zr2PtW
_chemical_formula_sum 'Zr2 Pt1 W1'
_space_group_name_H-M_alt 'P 1'
_space_group_IT_number 1
_space_group_name_Hall 'P 1'
_cell_length_a 4.623
_cell_length_b 4.623
_cell_length_c 4.623
_cell_angle_alpha 60.00
_cell_angle_beta 60.00
_cell_angle_gamma 60.00
loop_
_atom_site_label
_atom_site_type_symbol
_atom_site_fract_x
_atom_site_fract_y
_atom_site_fract_z
Zr1 Zr 0.000 0.000 0.000
Zr2 Zr 0.250 0.250 0.250
Pt1 Pt 0.500 0.500 0.500
W1 W 0.750 0.750 0.750
```

Properties
M_tot, μB/f.u.: 0.00
N(E_F), states/eV per atom: 0.775
E_form, eV/atom: -0.235
SG: F-43m (216)



[7]
## YTl3Ru (meta-GGA SCAN)

Data for a PBEsol-optimized structure of YTl3Ru.

The structure in CIF format:
```
data_YTl3Ru
_chemical_formula_sum 'Y1 Tl3 Ru1'
_space_group_name_H-M_alt 'P 1'
_space_group_IT_number 1
_space_group_name_Hall 'P 1'
_cell_length_a 5.622
_cell_length_b 5.622
_cell_length_c 5.622
_cell_angle_alpha 90.00
_cell_angle_beta 90.00
_cell_angle_gamma 90.00
loop_
_atom_site_label
_atom_site_type_symbol
_atom_site_fract_x
_atom_site_fract_y
_atom_site_fract_z
Y1 Y 0.000 0.000 0.000
Tl1 Tl 0.000 0.000 0.500
Tl2 Tl 0.000 0.500 0.000
Tl3 Tl 0.500 0.000 0.000
Ru1 Ru 0.500 0.500 0.500
```

Properties
M_tot, μB/f.u.: 2.36
N(E_F), states/eV per atom: 1.319
E_form, eV/atom: 1.370
SG: Pm-3m (221)



[8]
## FeS3N2Cl5 (meta-GGA SCAN)

Data for a PBEsol-optimized structure of FeS3N2Cl5.

The structure in CIF format:
```
data_FeS3N2Cl5
_chemical_formula_sum 'Fe4 S12 N8 Cl20'
_space_group_name_H-M_alt 'P 1'
_space_group_IT_number 1
_space_group_name_Hall 'P 1'
_cell_length_a 9.130
_cell_length_b 10.624
_cell_length_c 14.385
_cell_angle_alpha 90.00
_cell_angle_beta 129.08
_cell_angle_gamma 90.00
loop_
_atom_site_label
_atom_site_type_symbol
_atom_site_fract_x
_atom_site_fract_y
_atom_site_fract_z
Fe1 Fe 0.215 0.128 0.193
Fe2 Fe 0.215 0.372 0.693
Fe3 Fe 0.785 0.628 0.307
Fe4 Fe 0.785 0.872 0.807
S1 S 0.149 0.746 0.189
S2 S 0.149 0.754 0.689
S3 S 0.327 0.525 0.309
S4 S 0.327 0.975 0.809
S5 S 0.330 0.736 0.887
S6 S 0.330 0.764 0.387
S7 S 0.670 0.236 0.613
S8 S 0.670 0.264 0.113
S9 S 0.673 0.025 0.191
S10 S 0.673 0.475 0.691
S11 S 0.851 0.246 0.311
S12 S 0.851 0.254 0.811
N1 N 0.201 0.603 0.191
N2 N 0.201 0.897 0.691
N3 N 0.373 0.619 0.412
N4 N 0.373 0.881 0.912
N5 N 0.627 0.119 0.088
N6 N 0.627 0.381 0.588
N7 N 0.799 0.103 0.309
N8 N 0.799 0.397 0.809
Cl1 Cl 0.023 0.215 0.596
Cl2 Cl 0.023 0.285 0.096
Cl3 Cl 0.100 0.002 0.255
Cl4 Cl 0.100 0.498 0.755
Cl5 Cl 0.256 0.020 0.083
Cl6 Cl 0.256 0.480 0.583
Cl7 Cl 0.432 0.148 0.578
Cl8 Cl 0.432 0.352 0.078
Cl9 Cl 0.486 0.203 0.345
Cl10 Cl 0.486 0.297 0.845
Cl11 Cl 0.514 0.703 0.155
Cl12 Cl 0.514 0.797 0.655
Cl13 Cl 0.568 0.648 0.922
Cl14 Cl 0.568 0.852 0.422
Cl15 Cl 0.744 0.520 0.417
Cl16 Cl 0.744 0.980 0.917
Cl17 Cl 0.900 0.502 0.245
Cl18 Cl 0.900 0.998 0.745
Cl19 Cl 0.977 0.715 0.904
Cl20 Cl 0.977 0.785 0.404
```

Properties
M_tot, μB/f.u.: 4.98
N(E_F), states/eV per atom: 0.000
SG: P2_1/c (14)
ΔE_f (raw), eV per formula unit: -3.372



Computed values of volume (unit: Å³ per cell) for the preceding records, in sequence: 146 89 69 313 109 70 178 1083.